No. 1
Compound: SrScBi2Os
Source: Alexandria
Functional: GGA-PBE
Structure: relaxed

Total DFT energy (no corrections), eV per atom: -4.98

Unit cell a=5.6059 b=4.8779 c=5.6059 alpha=90.00 beta=90.00 gamma=90.00
Each line ends with the local moment (μB).
Fractional coordinates of all 5 atoms:
Sc (0.0000, 0.0000, 0.0000)  -0.02
Sr (0.5000, 0.5000, 0.5000)  0.00
Bi (0.0000, 0.0000, 0.5000)  -0.02
Bi (0.5000, 0.0000, 0.0000)  0.02
Os (0.0000, 0.5000, 0.0000)  0.65

---

No. 2
Compound: Sc2TlBiOs
Source: Alexandria
Functional: GGA-PBE
Structure: relaxed

Total DFT energy (no corrections), eV per atom: -5.08

Unit cell a=5.2631 b=5.0160 c=5.2631 alpha=90.00 beta=90.00 gamma=90.00
Fractional coordinates of all 5 atoms:
Sc (0.0000, 0.0000, 0.5000)
Sc (0.5000, 0.0000, 0.0000)
Tl (0.0000, 0.0000, 0.0000)
Bi (0.5000, 0.5000, 0.5000)
Os (0.0000, 0.5000, 0.0000)

---

No. 3
Compound: ScBiOs2W
Source: Alexandria
Functional: GGA-PBE
Structure: relaxed

Total DFT energy (no corrections), eV per atom: -7.72

Unit cell a=4.7901 b=5.1898 c=4.7901 alpha=90.00 beta=90.00 gamma=90.00
Fractional coordinates of all 5 atoms:
Sc (0.5000, 0.5000, 0.5000)
Bi (0.0000, 0.5000, 0.0000)
Os (0.5000, 0.0000, 0.0000)
Os (0.0000, 0.0000, 0.5000)
W (0.0000, 0.0000, 0.0000)

---

No. 4
Compound: Zr2ScBiOs
Source: Alexandria
Functional: GGA-PBE
Structure: relaxed

Total DFT energy (no corrections), eV per atom: -6.14

Unit cell a=4.8642 b=5.1930 c=4.8642 alpha=90.00 beta=90.00 gamma=90.00
Each line ends with the local moment (μB).
Fractional coordinates of all 5 atoms:
Zr (0.5000, 0.0000, 0.0000)  -0.03
Bi (0.0000, 0.5000, 0.0000)  -0.02
Os (0.5000, 0.5000, 0.5000)  1.28
Sc (0.0000, 0.0000, 0.0000)  0.07
Zr (0.0000, 0.0000, 0.5000)  -0.01

---

No. 5
Compound: Bi2Os2Se
Source: Alexandria
Functional: GGA-PBE
Structure: relaxed

Formation energy without anion corrections, eV/atom: 1.154
E above lowest polymorph, meV/atom: 652.6

Unit cell a=8.2451 b=8.2451 c=3.1366 alpha=90.00 beta=90.00 gamma=90.00
Fractional coordinates of all 10 atoms:
Se (0.5000, 0.5000, 0.0000)
Os (0.8649, 0.3649, 0.5000)
Os (0.3649, 0.1351, 0.5000)
Bi (0.1551, 0.3449, 0.0000)
Bi (0.6551, 0.1551, 0.0000)
Os (0.6351, 0.8649, 0.5000)
Se (0.0000, 0.0000, 0.0000)
Bi (0.3449, 0.8449, 0.0000)
Os (0.1351, 0.6351, 0.5000)
Bi (0.8449, 0.6551, 0.0000)

---

No. 6
Compound: Bi2OsSe2
Source: Alexandria
Functional: GGA-PBE
Structure: relaxed

Formation energy without anion corrections, eV/atom: 0.455
E above lowest polymorph, meV/atom: 0.0

Unit cell a=3.6096 b=3.6096 c=10.1715 alpha=79.78 beta=79.78 gamma=90.00
Each line ends with the local moment (μB).
Fractional coordinates of all 5 atoms:
Bi (0.5811, 0.5811, 0.8378)  -0.01
Se (0.2500, 0.7500, 0.5000)  0.00
Se (0.7500, 0.2500, 0.5000)  0.00
Os (0.0000, 0.0000, 0.0000)  0.59
Bi (0.4189, 0.4189, 0.1622)  -0.01